No. 1
First-principles (GGA-PBE) data for a geometry-optimized AcLa2Pt structure, as listed in Alexandria.

The structure in extended XYZ format:
```
4
Lattice="3.773 0.000 0.000 0.000 3.773 0.000 0.000 0.000 9.280" Properties=species:S:1:pos:R:3 pbc="T T T"
Ac 0.000 0.000 0.000
La 1.886 1.886 2.976
La 1.886 1.886 6.304
Pt 0.000 0.000 4.640
```

Calculated values
As for the spin magnetization: 0.0 μB per formula unit. As for the crystal system: tetragonal. As for the density of states at the Fermi level: 1.349 states/eV/atom. For the formation energy, the calculation gives -0.5252 eV per atom. As for the polymorph energy (0 for the lowest one): 117 meV/atom.

***

No. 2
First-principles (GGA-PBE) data for a geometry-optimized Li2Tm3Pb6 structure, as listed in Alexandria.

The structure in extended XYZ format:
```
11
Lattice="-2.287 2.287 14.433 2.287 -2.287 14.433 2.287 2.287 -14.433" Properties=species:S:1:pos:R:3 pbc="T T T"
Li 0.000 0.000 3.982
Li 0.000 0.000 24.884
Tm 0.000 0.000 9.731
Tm 0.000 0.000 14.433
Tm 0.000 0.000 19.135
Pb 2.287 0.000 2.260
Pb 0.000 0.000 6.652
Pb 2.287 0.000 12.173
Pb 0.000 2.287 2.260
Pb 0.000 0.000 22.214
Pb 0.000 2.287 12.173
```

Calculated values
As for the spin magnetization: 0.0 μB per formula unit. As for the crystal system: tetragonal. As for the density of states at the Fermi level: 0.324 states/eV/atom. For the formation energy, the calculation gives -0.2212 eV per atom.